## 1
BaCu2Rh | PBEsol | optimized geometry

```
4
Lattice="3.703 -2.139 0.000 3.703 2.139 0.000 -2.500 0.000 5.366" Properties=species:S:1:pos:R:3 pbc="T T T"
Ba 0.000 0.000 0.000
Cu 2.456 0.000 2.729
Cu 4.925 0.000 2.412
Rh -0.014 0.000 2.982
```



## 2
BaCu2Rh | PBEsol | optimized geometry

```
4
Lattice="4.135 0.000 0.000 0.000 4.135 0.000 0.000 0.000 4.200" Properties=species:S:1:pos:R:3 pbc="T T T"
Ba 0.000 0.000 0.000
Cu 0.000 2.067 2.100
Cu 2.067 0.000 2.100
Rh 2.067 2.067 0.000
```



Energetically preferred structure: 1 | next structure: +0.468 eV/atom



## 1
Ba2TaCu | PBEsol | optimized geometry

```
4
Lattice="5.746 0.000 0.000 0.000 5.746 0.000 0.000 0.000 3.354" Properties=species:S:1:pos:R:3 pbc="T T T"
Ba 0.000 2.873 0.000
Ba 2.873 0.000 0.000
Ta 0.000 0.000 1.677
Cu 2.873 2.873 1.677
```



## 2
Ba2TaCu | PBEsol | optimized geometry

```
4
Lattice="0.000 3.919 3.919 3.919 0.000 3.919 3.919 3.919 0.000" Properties=species:S:1:pos:R:3 pbc="T T T"
Ba 1.959 1.959 1.959
Ba 5.878 5.878 5.878
Ta 0.000 0.000 0.000
Cu 3.919 3.919 3.919
```



Energetically preferred structure: 1 | next structure: +0.186 eV/atom



## 1
BaCuTe | PBEsol | optimized geometry

```
3
Lattice="0.000 2.724 5.621 2.704 0.000 5.621 2.704 2.724 0.000" Properties=species:S:1:pos:R:3 pbc="T T T"
Ba 0.000 0.000 0.000
Cu 2.704 2.724 7.970
Te 2.704 2.724 3.265
```



## 2
BaCuTe | PBEsol | optimized geometry

```
3
Lattice="0.000 3.511 3.511 3.511 0.000 3.511 3.511 3.511 0.000" Properties=species:S:1:pos:R:3 pbc="T T T"
Ba 0.000 0.000 0.000
Cu 5.266 5.266 5.266
Te 3.511 3.511 3.511
```



Energetically preferred structure: 2 | next structure: +0.173 eV/atom